1.
# Pr3Zn6AgAu2 (GGA-PBE, relaxed)
# Calculated density = 8.40 g/cm3
# DOS(E_F) = 7.39 states/eV per cell
# E_form = -0.228 eV per atom
data_Pr3Zn6AgAu2
_space_group_name_H-M_alt 'P -3 m 1'
_space_group_IT_number 164
_space_group_name_Hall '-P 3 2"'
_cell_length_a 5.6408
_cell_length_b 5.6408
_cell_length_c 9.4486
_cell_angle_alpha 90.00
_cell_angle_beta 90.00
_cell_angle_gamma 120.00
loop_
_atom_site_label
_atom_site_fract_x
_atom_site_fract_y
_atom_site_fract_z
Pr1 0.0000 0.0000 0.0000
Pr2 0.3333 0.6667 0.6004
Zn1 0.1732 0.3464 0.2682
Ag1 0.0000 0.0000 0.5000
Au1 0.3333 0.6667 0.0258

---

2.
# Pr2Zn4AgAu3 (GGA-PBE, relaxed)
# Calculated density = 9.90 g/cm3
# DOS(E_F) = 5.87 states/eV per cell
# E_form = -0.466 eV per atom
data_Pr2Zn4AgAu3
_space_group_name_H-M_alt 'P -4 m 2'
_space_group_IT_number 115
_cell_length_a 4.258
_cell_length_b 4.258
_cell_length_c 11.495
_cell_angle_alpha 90.00
_cell_angle_beta 90.00
_cell_angle_gamma 90.00
loop_
_space_group_symop_operation_xyz
'x,y,z'
'y,-x,-z'
'-x,-y,z'
'-y,x,-z'
'-x,y,z'
'-y,-x,-z'
'x,-y,z'
'y,x,-z'
loop_
_atom_site_label
_atom_site_fract_x
_atom_site_fract_y
_atom_site_fract_z
Pr1 0.000 0.500 0.245
Zn1 0.000 0.000 0.000
Zn2 0.000 0.500 0.637
Zn3 0.500 0.500 0.000
Ag1 0.000 0.000 0.500
Au1 0.000 0.500 0.861
Au2 0.500 0.500 0.500

---

3.
# PrZn2AgAu2 (GGA-PBE, relaxed)
# Calculated density = 10.60 g/cm3
# DOS(E_F) = 3.81 states/eV per cell
# E_form = -0.451 eV per atom
data_PrZn2AgAu2
_space_group_name_H-M_alt 'P -3 m 1'
_space_group_IT_number 164
_space_group_name_Hall '-P 3 2"'
_cell_length_a 4.5645
_cell_length_b 4.5645
_cell_length_c 6.7137
_cell_angle_alpha 90.00
_cell_angle_beta 90.00
_cell_angle_gamma 120.00
loop_
_atom_site_label
_atom_site_fract_x
_atom_site_fract_y
_atom_site_fract_z
Pr1 0.0000 0.0000 0.0000
Zn1 0.3333 0.6667 0.3122
Ag1 0.0000 0.0000 0.5000
Au1 0.3333 0.6667 0.7294

---

4.
# PrZn5AgAu2 (GGA-PBE, relaxed)
# Calculated density = 8.73 g/cm3
# DOS(E_F) = 2.78 states/eV per cell
# E_form = -0.078 eV per atom
data_PrZn5AgAu2
_space_group_name_H-M_alt 'P 4/m m m'
_space_group_IT_number 123
_space_group_name_Hall '-P 4 2'
_cell_length_a 4.932
_cell_length_b 4.932
_cell_length_c 7.583
_cell_angle_alpha 90.00
_cell_angle_beta 90.00
_cell_angle_gamma 90.00
loop_
_atom_site_label
_atom_site_fract_x
_atom_site_fract_y
_atom_site_fract_z
Pr1 0.000 0.000 0.000
Zn1 0.000 0.500 0.285
Zn2 0.500 0.500 0.000
Ag1 0.000 0.000 0.500
Au1 0.500 0.500 0.323

---

5.
# PrZnAgAu (GGA-PBE, relaxed)
# Calculated density = 9.82 g/cm3
# E above lowest polymorph = 28.9 meV/atom
# DOS(E_F) = 14.40 states/eV per cell
# E_form = -0.388 eV per atom
data_PrZnAgAu
_space_group_name_H-M_alt 'F -4 3 m'
_space_group_IT_number 216
_space_group_name_Hall 'F -4 2 3'
_cell_length_a 7.018
_cell_length_b 7.018
_cell_length_c 7.018
_cell_angle_alpha 90.00
_cell_angle_beta 90.00
_cell_angle_gamma 90.00
loop_
_atom_site_label
_atom_site_fract_x
_atom_site_fract_y
_atom_site_fract_z
Pr1 0.000 0.000 0.000
Zn1 0.250 0.250 0.750
Ag1 0.000 0.000 0.500
Au1 0.250 0.250 0.250

---

6.
# PrZrAgAu (GGA-PBE, relaxed)
# Calculated density = 9.49 g/cm3
# DOS(E_F) = 17.82 states/eV per cell
# E_form = -0.249 eV per atom
data_PrZrAgAu
_space_group_name_H-M_alt 'F -4 3 m'
_space_group_IT_number 216
_space_group_name_Hall 'F -4 2 3'
_cell_length_a 7.217
_cell_length_b 7.217
_cell_length_c 7.217
_cell_angle_alpha 90.00
_cell_angle_beta 90.00
_cell_angle_gamma 90.00
loop_
_atom_site_label
_atom_site_fract_x
_atom_site_fract_y
_atom_site_fract_z
Pr1 0.000 0.000 0.000
Zr1 0.000 0.000 0.500
Ag1 0.250 0.250 0.750
Au1 0.250 0.250 0.250

---

7.
# Ag2PtAu8 (GGA-PBE, relaxed)
# Calculated density = 16.91 g/cm3
# E above lowest polymorph = 0.0 meV/atom
# DOS(E_F) = 6.13 states/eV per cell
# E_form = -0.010 eV per atom
data_Ag2PtAu8
_space_group_name_H-M_alt 'C 1 2/m 1'
_space_group_IT_number 12
_cell_length_a 14.963
_cell_length_b 4.126
_cell_length_c 6.549
_cell_angle_alpha 90.00
_cell_angle_beta 105.15
_cell_angle_gamma 90.00
loop_
_space_group_symop_operation_xyz
'x,y,z'
'-x,-y,-z'
'-x,y,-z'
'x,-y,z'
'x+1/2,y+1/2,z'
'-x+1/2,-y+1/2,-z'
'-x+1/2,y+1/2,-z'
'x+1/2,-y+1/2,z'
loop_
_atom_site_label
_atom_site_fract_x
_atom_site_fract_y
_atom_site_fract_z
Ag1 0.136 0.000 0.181
Pt1 0.000 0.500 0.000
Au1 0.044 0.000 0.733
Au2 0.090 0.500 0.450
Au3 0.180 0.500 0.908
Au4 0.227 0.000 0.637

---

8.
# AgPtAu2 (GGA-PBE, relaxed)
# Calculated density = 16.61 g/cm3
# E above lowest polymorph = 40.0 meV/atom
# DOS(E_F) = 3.76 states/eV per cell
# E_form = 0.023 eV per atom
data_AgPtAu2
_space_group_name_H-M_alt 'C m m 2'
_space_group_IT_number 35
_cell_length_a 2.906
_cell_length_b 4.845
_cell_length_c 9.896
_cell_angle_alpha 90.00
_cell_angle_beta 90.00
_cell_angle_gamma 90.00
loop_
_space_group_symop_operation_xyz
'x,y,z'
'-x,-y,z'
'-x,y,z'
'x,-y,z'
'x+1/2,y+1/2,z'
'-x+1/2,-y+1/2,z'
'-x+1/2,y+1/2,z'
'x+1/2,-y+1/2,z'
loop_
_atom_site_label
_atom_site_fract_x
_atom_site_fract_y
_atom_site_fract_z
Ag1 0.000 0.000 0.000
Pt1 0.000 0.500 0.757
Au1 0.000 0.000 0.510
Au2 0.000 0.500 0.252

---

9.
# AgPtAu2 (GGA-PBE, relaxed)
# Calculated density = 16.71 g/cm3
# E above lowest polymorph = 31.6 meV/atom
# DOS(E_F) = 3.00 states/eV per cell
# E_form = 0.015 eV per atom
data_AgPtAu2
_space_group_name_H-M_alt 'I 4/m m m'
_space_group_IT_number 139
_space_group_name_Hall '-I 4 2'
_cell_length_a 4.217
_cell_length_b 4.217
_cell_length_c 7.787
_cell_angle_alpha 90.00
_cell_angle_beta 90.00
_cell_angle_gamma 90.00
loop_
_atom_site_label
_atom_site_fract_x
_atom_site_fract_y
_atom_site_fract_z
Ag1 0.000 0.000 0.000
Pt1 0.000 0.000 0.500
Au1 0.000 0.500 0.250

---

10.
# Ag8PtAu5 (GGA-PBE, relaxed)
# Calculated density = 12.70 g/cm3
# DOS(E_F) = 11.71 states/eV per cell
# E_form = 0.132 eV per atom
data_Ag8PtAu5
_space_group_name_H-M_alt 'I -4'
_space_group_IT_number 82
_cell_length_a 8.062
_cell_length_b 8.062
_cell_length_c 8.216
_cell_angle_alpha 90.00
_cell_angle_beta 90.00
_cell_angle_gamma 90.00
loop_
_space_group_symop_operation_xyz
'x,y,z'
'y,-x,-z'
'-x,-y,z'
'-y,x,-z'
'x+1/2,y+1/2,z+1/2'
'y+1/2,-x+1/2,-z+1/2'
'-x+1/2,-y+1/2,z+1/2'
'-y+1/2,x+1/2,-z+1/2'
loop_
_atom_site_label
_atom_site_fract_x
_atom_site_fract_y
_atom_site_fract_z
Ag1 0.063 0.333 0.077
Ag2 0.108 0.180 0.747
Pt1 0.000 0.000 0.000
Au1 0.000 0.500 0.750
Au2 0.112 0.205 0.412

---

11.
# AgPtAu2 (GGA-PBE, relaxed)
# Calculated density = 16.68 g/cm3
# E above lowest polymorph = 61.8 meV/atom
# DOS(E_F) = 1.56 states/eV per cell
# E_form = 0.045 eV per atom
data_AgPtAu2
_space_group_name_H-M_alt 'P m m m'
_space_group_IT_number 47
_cell_length_a 3.038
_cell_length_b 4.770
_cell_length_c 4.789
_cell_angle_alpha 90.00
_cell_angle_beta 90.00
_cell_angle_gamma 90.00
loop_
_space_group_symop_operation_xyz
'x,y,z'
'-x,-y,-z'
'-x,-y,z'
'x,y,-z'
'x,-y,-z'
'-x,y,z'
'-x,y,-z'
'x,-y,z'
loop_
_atom_site_label
_atom_site_fract_x
_atom_site_fract_y
_atom_site_fract_z
Ag1 0.000 0.000 0.000
Pt1 0.500 0.000 0.500
Au1 0.000 0.500 0.500
Au2 0.500 0.500 0.000

---

12.
# Ag16Pt6Au7 (GGA-PBE, relaxed)
# Calculated density = 12.83 g/cm3
# DOS(E_F) = 69.58 states/eV per cell
# E_form = 0.258 eV per atom
data_Ag16Pt6Au7
_space_group_name_H-M_alt 'F m -3 m'
_space_group_IT_number 225
_space_group_name_Hall '-F 4 2 3'
_cell_length_a 13.032
_cell_length_b 13.032
_cell_length_c 13.032
_cell_angle_alpha 90.00
_cell_angle_beta 90.00
_cell_angle_gamma 90.00
loop_
_atom_site_label
_atom_site_fract_x
_atom_site_fract_y
_atom_site_fract_z
Ag1 0.121 0.121 0.121
Ag2 0.154 0.154 0.346
Pt1 0.000 0.000 0.344
Au1 0.000 0.000 0.000
Au2 0.000 0.250 0.250